[1]
# NiRh2Au

NiRh2Au at its PBEsol-relaxed geometry (meta-GGA SCAN, Alexandria via LeMat-Bulk).

Cell: 8.9503 2.7097 4.6076 Å, 90.00 101.78 90.00°
Last column: nearest neighbours and their distance in Å.
Space group C2/m (No. 12)
Asymmetric unit:
Ni: 0.0000 0.0000 0.0000  6 Rh 2.58-2.76, 4 Au 2.67, 2 Ni 2.71
Rh: 0.2395 0.5000 0.2347  3 Ni 2.58-2.76, 6 Rh 2.59-2.77, 3 Au 2.68-2.76
Au: 0.0000 0.5000 0.5000  4 Ni 2.67, 6 Rh 2.68-2.76, 2 Au 2.71

Calculated values
energy of formation from the pure elements: 0.101 eV/atom
size of the total moment: 1.841 μB/f.u.
electronic total energy: -38.1175 eV per atom


[2]
# TlCo2Ru

TlCo2Ru at its PBEsol-relaxed geometry (meta-GGA SCAN, Alexandria via LeMat-Bulk).

Cell: 3.9016 3.9016 3.6360 Å, 90.00 90.00 90.00°
Last column: nearest neighbours and their distance in Å.
Space group P4/mmm (No. 123)
Asymmetric unit:
Tl: 0.0000 0.0000 0.0000  8 Co 2.67, 4 Ru 2.76
Co: 0.0000 0.5000 0.5000  4 Tl 2.67, 4 Ru 2.67, 4 Co 2.76
Ru: 0.5000 0.5000 0.0000  8 Co 2.67, 4 Tl 2.76

Calculated values
energy of formation from the pure elements: 0.464 eV/atom
size of the total moment: 5.008 μB/f.u.
electronic total energy: -34.9847 eV per atom


[3]
# FeCuSb4

FeCuSb4 at its PBEsol-relaxed geometry (meta-GGA SCAN, Alexandria via LeMat-Bulk).

Cell: 8.4607 8.4607 8.4607 Å, 90.00 90.00 90.00°
Last column: nearest neighbours and their distance in Å.
Space group F-43m (No. 216)
Asymmetric unit:
Fe: 0.0000 0.0000 0.0000  12 Sb 3.51, 4 Cu 3.66
Cu: 0.2500 0.2500 0.2500  12 Sb 3.51, 4 Fe 3.66
Sb: 0.1248 0.1248 0.6248  6 Sb 2.99-3.00

Calculated values
E_form (uncorrected): 1007 meV per atom
size of the total moment: 3.449 μB/f.u.
electronic total energy: -29.3879 eV per atom


[4]
# ReAuCl

ReAuCl at its PBEsol-relaxed geometry (meta-GGA SCAN, Alexandria via LeMat-Bulk).

Cell: 2.8017 5.0928 14.1534 Å, 90.00 90.00 90.00°
Last column: nearest neighbours and their distance in Å.
Space group Fmm2 (No. 42)
Asymmetric unit:
Re: 0.0000 0.0000 0.0000  2 Cl 2.37
Au: 0.0000 0.0000 0.3327  2 Re 2.75, 6 Au 2.80-2.91
Cl: 0.0000 0.0000 0.6349  2 Re 2.37

Calculated values
E_form (uncorrected): 598 meV per atom
size of the total moment: 0.989 μB/f.u.
electronic total energy: -48.8132 eV per atom


Which value of electronic total energy does entry 4 give?
-48.8132 eV per atom